ReSe2: relaxed, PBEsol.

Properties
**DOS(E_F)**: 3.460 states/eV/cell
**Magnetization**: 0.00 μB per formula unit
**Uncorrected formation energy**: -0.125 eV per atom
**Total energy**: -7.14 eV per atom
**Calculated volume**: 110 Å³/cell

Structure (extended XYZ):
```
6
Lattice="-3.0696 -1.0825 0.7124 1.7117 -5.1016 -0.3766 1.3790 0.0216 5.9750" Properties=species:S:1:pos:R:3 pbc="T T T"
Re 0.0000 0.0000 0.0000
Re 0.0105 -3.0813 3.1554
Se 1.2136 -0.9796 3.7411
Se 1.8771 -4.1004 1.8574
Se 0.8425 -4.0668 5.2427
Se -0.8214 -2.0957 1.0681
```